A plane-wave DFT calculation with PBE was carried out for an optimized crystal structure of Y3VW.

Lattice parameters (Å, degrees): 5.396 5.396 5.396 90.00 90.00 90.00
Site moments in Bohr magnetons follow the coordinates.
Atoms (fractional coordinates):
Y (0.000, 0.000, 0.500)  0.04
Y (0.500, 0.000, 0.000)  0.04
Y (0.000, 0.500, 0.000)  0.04
V (0.500, 0.500, 0.500)  2.97
W (0.000, 0.000, 0.000)  0.03

crystal system: cubic
distance to the lowest polymorph of the same formula: 0.00 kJ/mol of atoms
E_form: 1001 meV/atom

***

A plane-wave DFT calculation with PBE was carried out for an optimized crystal structure of YV2W.

Lattice parameters (Å, degrees): 4.361 4.361 9.551 76.80 76.80 90.00
Atoms (fractional coordinates):
V (0.375, 0.205, 0.750)
V (0.875, 0.045, 0.750)
V (0.955, 0.625, 0.250)
V (0.795, 0.125, 0.250)
Y (0.250, 0.750, 0.500)
Y (0.500, 0.500, 0.000)
W (0.750, 0.250, 0.500)
W (0.000, 0.000, 0.000)

crystal system: tetragonal
distance to the lowest polymorph of the same formula: 57.26 kJ/mol of atoms
E_form: 1045 meV/atom

***

A plane-wave DFT calculation with PBE was carried out for an optimized crystal structure of Y2V2W.

Lattice parameters (Å, degrees): 6.425 6.425 5.055 90.00 90.00 90.00
Atoms (fractional coordinates):
Y (0.677, 0.823, 0.500)
Y (0.823, 0.323, 0.500)
Y (0.323, 0.177, 0.500)
Y (0.177, 0.677, 0.500)
W (0.000, 0.000, 0.000)
W (0.500, 0.500, 0.000)
V (0.860, 0.640, 0.000)
V (0.640, 0.140, 0.000)
V (0.140, 0.360, 0.000)
V (0.360, 0.860, 0.000)

crystal system: tetragonal
E_form: 394 meV/atom

***

A plane-wave DFT calculation with PBE was carried out for an optimized crystal structure of YV2W.

Lattice parameters (Å, degrees): 4.601 4.601 4.601 60.00 60.00 60.00
Atoms (fractional coordinates):
W (0.500, 0.500, 0.500)
V (0.750, 0.750, 0.750)
V (0.250, 0.250, 0.250)
Y (0.000, 0.000, 0.000)

crystal system: cubic
distance to the lowest polymorph of the same formula: 0.00 kJ/mol of atoms
E_form: 452 meV/atom